The following is a DFT calculation (PBE-GGA) of a geometry-optimized ZrScIn structure.

Properties
Energy relative to the lowest polymorph listed for this composition, meV/atom: 19
Space group: I4mm, No. 107
Formation energy, eV per atom: -0.2850
E_tot, eV/atom: -6.16

```
ZrScIn
1.0
-1.6663 1.6663 6.2207
1.6663 -1.6663 6.2207
1.6663 1.6663 -6.2207
Zr Sc In
1 1 1
Cartesian
0.0000 0.0000 0.0000
0.0000 0.0000 4.1385
0.0000 0.0000 8.3056
```

---

The following is a DFT calculation (PBE-GGA) of a geometry-optimized BeTlAu2 structure.

Properties
Energy relative to the lowest polymorph listed for this composition, meV/atom: 7
Space group: P4/mmm, No. 123
Formation energy, eV per atom: 0.0035
E_tot, eV/atom: -3.16

```
BeTlAu2
1.0
2.9622 0.0000 0.0000
0.0000 2.9622 0.0000
0.0000 0.0000 8.5668
Be Tl Au
1 1 2
Cartesian
0.0000 0.0000 0.0000
0.0000 0.0000 4.2834
1.4811 1.4811 1.4565
1.4811 1.4811 7.1103
```

---

The following is a DFT calculation (PBE-GGA) of a geometry-optimized La2Cd2Si structure.

Properties
Energy relative to the lowest polymorph listed for this composition, meV/atom: 0
Space group: P4/mbm, No. 127
Energy relative to the elements, uncorrected, eV per atom: -0.24
E_tot, eV/atom: -3.66

```
La2Cd2Si
1.0
7.3313 0.0000 0.0000
0.0000 7.3313 0.0000
0.0000 0.0000 5.0478
La Cd Si
4 4 2
Cartesian
1.2592 2.4065 0.0000
2.4065 6.0721 0.0000
4.9248 1.2592 0.0000
6.0721 4.9248 0.0000
0.9973 4.6629 2.5239
2.6683 0.9973 2.5239
4.6629 6.3340 2.5239
6.3340 2.6683 2.5239
0.0000 0.0000 2.5239
3.6656 3.6656 2.5239
```

---

The following is a DFT calculation (PBE-GGA) of a geometry-optimized Ho3MgAu4 structure.

Properties
Space group: P4/mmm, No. 123
Formation energy, eV per atom: -0.8091
E_tot, eV/atom: -4.36

```
Ho3MgAu4
1.0
4.9834 0.0000 0.0000
0.0000 4.9834 0.0000
0.0000 0.0000 7.0574
Ho Mg Au
3 1 4
Cartesian
0.0000 0.0000 0.0000
0.0000 0.0000 3.5287
2.4917 2.4917 0.0000
2.4917 2.4917 3.5287
0.0000 2.4917 1.7822
0.0000 2.4917 5.2752
2.4917 0.0000 1.7822
2.4917 0.0000 5.2752
```

---

For each record above, in turn, the calculated Fermi-level density of states values are 1.55, 1.91, 5.22, 4.00 states/eV per cell.
For each record above, in turn, the calculated total moment values are 0.0, 0.0, 0.0, 0.0 μB per cell.